# 1
# GGA-PBE Pa2CrCo4Ge3, relaxed
data_Pa2CrCo4Ge3
_chemical_formula_sum 'Pa2 Cr1 Co4 Ge3'
_space_group_name_H-M_alt 'P -4 m 2'
_space_group_IT_number 115
_cell_length_a 3.954
_cell_length_b 3.954
_cell_length_c 9.798
_cell_angle_alpha 90.00
_cell_angle_beta 90.00
_cell_angle_gamma 90.00
loop_
_space_group_symop_operation_xyz
'x,y,z'
'y,-x,-z'
'-x,-y,z'
'-y,x,-z'
'-x,y,z'
'-y,-x,-z'
'x,-y,z'
'y,x,-z'
loop_
_atom_site_label
_atom_site_fract_x
_atom_site_fract_y
_atom_site_fract_z
Pa1 0.000 0.500 0.248
Cr1 0.000 0.000 0.500
Co1 0.000 0.000 0.000
Co2 0.000 0.500 0.627
Co3 0.500 0.500 0.000
Ge1 0.000 0.500 0.868
Ge2 0.500 0.500 0.500
# - Energy relative to the elements: -0.46 eV/atom

***

# 2
# GGA-PBE Tb5Nd7Er, relaxed
data_Tb5Nd7Er
_chemical_formula_sum 'Tb10 Nd14 Er2'
_space_group_name_H-M_alt 'I m m 2'
_space_group_IT_number 44
_cell_length_a 6.745
_cell_length_b 11.390
_cell_length_c 11.765
_cell_angle_alpha 90.00
_cell_angle_beta 90.00
_cell_angle_gamma 90.00
loop_
_space_group_symop_operation_xyz
'x,y,z'
'-x,-y,z'
'-x,y,z'
'x,-y,z'
'x+1/2,y+1/2,z+1/2'
'-x+1/2,-y+1/2,z+1/2'
'-x+1/2,y+1/2,z+1/2'
'x+1/2,-y+1/2,z+1/2'
loop_
_atom_site_label
_atom_site_fract_x
_atom_site_fract_y
_atom_site_fract_z
Tb1 0.000 0.000 0.000
Tb2 0.232 0.271 0.505
Nd1 0.000 0.000 0.499
Nd2 0.000 0.171 0.251
Nd3 0.000 0.175 0.754
Nd4 0.000 0.500 0.309
Nd5 0.000 0.500 0.997
Er1 0.000 0.500 0.686
# - Energy relative to the elements: 0.23 eV/atom

***

# 3
# GGA-PBE PmSbH6Rh3, relaxed
data_PmSbH6Rh3
_chemical_formula_sum 'Pm3 Sb3 H18 Rh9'
_space_group_name_H-M_alt 'R 3'
_space_group_IT_number 146
_space_group_name_Hall 'R 3'
_cell_length_a 7.2759
_cell_length_b 7.2759
_cell_length_c 8.1100
_cell_angle_alpha 90.00
_cell_angle_beta 90.00
_cell_angle_gamma 120.00
loop_
_atom_site_label
_atom_site_fract_x
_atom_site_fract_y
_atom_site_fract_z
Pm1 0.0000 0.0000 0.0000
Sb1 0.0000 0.0000 0.5930
H1 0.0824 0.3459 0.8115
H2 0.1417 0.7013 0.9319
Rh1 0.0441 0.2593 0.3405
# - Electronic total energy: -4.992 eV/atom

***

# 4
# GGA-PBE Ni4Pd2N, relaxed
data_Ni4Pd2N
_chemical_formula_sum 'Ni8 Pd4 N2'
_space_group_name_H-M_alt 'I 4/m m m'
_space_group_IT_number 139
_space_group_name_Hall '-I 4 2'
_cell_length_a 3.648
_cell_length_b 3.648
_cell_length_c 13.156
_cell_angle_alpha 90.00
_cell_angle_beta 90.00
_cell_angle_gamma 90.00
loop_
_atom_site_label
_atom_site_fract_x
_atom_site_fract_y
_atom_site_fract_z
Ni1 0.000 0.000 0.140
Ni2 0.000 0.500 0.000
Pd1 0.000 0.000 0.327
N1 0.000 0.000 0.000
# - Uncorrected formation energy: 171.0 meV per atom